The following is a PBE-GGA calculation of a geometry-optimized PmGa5Pd2Rh structure, from Alexandria via LeMat-Bulk.

Cell and atoms, written as POSCAR:
```
PmGa5Pd2Rh
1.0
-1.329 0.100 4.636
0.792 -4.747 0.330
7.011 1.308 1.981
Ga Pd Rh Pm
5 2 1 1
direct
0.500 0.500 0.500 Ga
0.500 0.000 0.817 Ga
0.000 0.500 0.817 Ga
0.500 0.000 0.183 Ga
0.000 0.500 0.183 Ga
0.500 0.500 0.183 Pd
0.500 0.500 0.817 Pd
0.000 0.000 0.000 Rh
0.000 0.000 0.500 Pm
```

* space-group type: No. 123
* magnetic moment: 0.00 μB/atom
* energy of formation: -0.357 eV per atom

=====

The following is a PBE-GGA calculation of a geometry-optimized KCdTc2 structure, from Alexandria via LeMat-Bulk.

Cell and atoms, written as POSCAR:
```
KCdTc2
1.0
-1.150 -5.483 1.535
-1.609 -4.077 -3.812
4.041 4.109 0.733
Cd Tc K
1 2 1
direct
0.250 0.750 0.500 Cd
0.500 0.500 0.000 Tc
0.000 0.000 0.000 Tc
0.750 0.250 0.500 K
```

* space-group type: No. 139
* magnetic moment: 0.00 μB/atom
* energy of formation: 1.355 eV per atom